{"formula": "YCoB3", "functional": "PBE", "state": "relaxed", "relative_energy_mev_per_atom": 2820, "formation_enthalpy_0k_ev_per_atom": 2.7433, "e_tot_ev_per_atom": -3.98, "lattice_angstrom": [[4.4526, 0.0000, 0.0000], [0.0000, 4.4526, 0.0000], [0.0000, 0.0000, 4.4526]], "species": ["Y", "B", "Co", "B", "B"], "fractional_positions": [[0.0000, 0.0000, 0.0000], [0.5000, 0.0000, 0.0000], [0.5000, 0.5000, 0.5000], [0.0000, 0.5000, 0.0000], [0.0000, 0.0000, 0.5000]]}